A plane-wave DFT calculation with PBE was carried out for a relaxed structure of Ba2TmMnS5.

Summary:
- uncorrected energy (eV per cell) = -106.22
- formation energy without anion corrections (kJ/mol of formula units) = -1446.2

Cell: 4.119 9.251 12.900 Å, 90.00 90.00 102.86°
Positions (direct):
Mn 0.440 0.879 0.429
Mn 0.560 0.121 0.929
S 0.686 0.372 0.882
S 0.656 0.312 0.513
S 0.344 0.688 0.013
S 0.502 0.004 0.776
S 0.303 0.607 0.664
S 0.043 0.086 0.006
S 0.498 0.996 0.276
S 0.314 0.628 0.382
S 0.957 0.914 0.506
S 0.697 0.393 0.164
Ba 0.874 0.747 0.833
Ba 0.125 0.250 0.691
Ba 0.126 0.253 0.333
Ba 0.875 0.750 0.191
Tm 0.799 0.599 0.529
Tm 0.201 0.401 0.029